1.
Entry from Alexandria: a relaxed structure of KYPb2 (PBE).

Computed properties:
- Calculated volume: 131 Å³/f.u.
- Size of the total moment: 0.00 μB per cell
- Excess energy over the best structure of this formula in the dataset: 283 meV per atom
- ΔH_f (0 K): -7.8 kJ per mole of atoms
- Calculated density: 6.9 g cm⁻³

Lattice parameters (Å, degrees): 7.0756 7.0756 7.0756 149.72 132.50 57.37
With the nearest neighbours (Å) after each atom.
Positions (direct):
K 0.2449 0.7449 0.5000  6 Pb 3.40-3.76, 2 K 3.70
Pb 0.9815 0.9815 0.0000  4 Pb 3.43-3.70, 4 Y 3.44, 2 K 3.76
Pb 0.7485 0.2485 0.5000  2 Y 3.33, 4 K 3.40, 4 Pb 3.43-3.70
Y 0.5250 0.5250 0.0000  6 Pb 3.33-3.44, 2 Y 3.70

2.
Entry from Alexandria: a relaxed structure of KYPb2 (PBE).

Computed properties:
- Calculated volume: 127 Å³/f.u.
- Size of the total moment: 0.00 μB per cell
- Excess energy over the best structure of this formula in the dataset: 311 meV per atom
- ΔH_f (0 K): -5.2 kJ per mole of atoms
- Calculated density: 7.1 g cm⁻³

Lattice parameters (Å, degrees): 6.6002 6.6002 6.6002 138.02 138.02 60.87
With the nearest neighbours (Å) after each atom.
Positions (direct):
K 0.7500 0.2500 0.5000  8 Pb 3.34-3.70, 4 Y 3.70
Pb 0.0000 0.0000 0.0000  4 Y 3.34, 4 K 3.70, 4 Pb 3.70
Pb 0.2500 0.7500 0.5000  4 K 3.34, 4 Pb 3.70, 4 Y 3.70
Y 0.5000 0.5000 0.0000  8 Pb 3.34-3.70, 4 K 3.70

3.
Entry from Alexandria: a relaxed structure of KYPb3 (PBE).

Computed properties:
- Calculated volume: 212 Å³/f.u.
- Size of the total moment: 0.00 μB per cell
- Excess energy over the best structure of this formula in the dataset: 0 meV per atom
- ΔH_f (0 K): 6.8 kJ per mole of atoms
- Calculated density: 5.9 g cm⁻³

Lattice parameters (Å, degrees): 5.9615 5.9615 5.9615 90.00 90.00 90.00
With the nearest neighbours (Å) after each atom.
Positions (direct):
Pb 0.0000 0.5000 0.0000  2 Y 2.98
Pb 0.0000 0.0000 0.5000  2 Y 2.98
Pb 0.5000 0.0000 0.0000  2 Y 2.98
Y 0.0000 0.0000 0.0000  6 Pb 2.98
K 0.5000 0.5000 0.5000  12 Pb 4.22

4.
Entry from Alexandria: a relaxed structure of KYPb2 (PBE).

Computed properties:
- Calculated volume: 128 Å³/f.u.
- Size of the total moment: 0.23 μB per cell
- Excess energy over the best structure of this formula in the dataset: 216 meV per atom
- ΔH_f (0 K): -14.3 kJ per mole of atoms
- Calculated density: 7.0 g cm⁻³

Lattice parameters (Å, degrees): 6.5915 6.5915 5.9866 73.39 73.39 30.97
With the nearest neighbours (Å) after each atom.
Positions (direct):
K 0.2679 0.2679 0.1722  7 Pb 3.41-3.58, 2 K 3.52, 1 Y 3.73
Pb 0.0210 0.0210 0.0572  3 K 3.41-3.55, 4 Pb 3.42-3.52, 4 Y 3.47-3.55
Pb 0.7299 0.7299 0.6806  3 Y 3.36-3.54, 4 Pb 3.42-3.52, 4 K 3.42-3.58
Y 0.4811 0.4811 0.5900  7 Pb 3.36-3.55, 2 Y 3.52, 1 K 3.73